[1]
A plane-wave DFT calculation with PBE was carried out for a relaxed structure of Tm12Sb3Pb5.

**DFT total energy**: -4.31 eV per atom
**M_tot**: 3.5 μB per formula unit
**Density of states at the Fermi level**: 56.88 states/eV per cell
**Symmetry**: Ia-3d
**Uncorrected formation energy**: -0.079 eV per atom

Cell lengths 15.345, 15.345, 15.345 Å; angles 109.47, 109.47, 109.47 degrees
Sites, in units of the cell vectors:
Tm1 0.059 0.225 0.140
Tm2 0.059 0.334 0.919
Tm3 0.081 0.640 0.414
Tm4 0.081 0.941 0.666
Tm5 0.086 0.725 0.666
Tm6 0.086 0.860 0.419
Tm7 0.140 0.059 0.225
Tm8 0.140 0.581 0.914
Tm9 0.166 0.225 0.586
Tm10 0.166 0.441 0.581
Tm11 0.225 0.140 0.059
Tm12 0.225 0.586 0.166
Tm13 0.275 0.334 0.914
Tm14 0.275 0.441 0.360
Tm15 0.334 0.914 0.275
Tm16 0.334 0.919 0.059
Tm17 0.360 0.275 0.441
Tm18 0.360 0.586 0.919
Tm19 0.414 0.081 0.640
Tm20 0.414 0.834 0.775
Tm21 0.419 0.086 0.860
Tm22 0.419 0.834 0.559
Tm23 0.441 0.360 0.275
Tm24 0.441 0.581 0.166
Tm25 0.559 0.419 0.834
Tm26 0.559 0.640 0.725
Tm27 0.581 0.166 0.441
Tm28 0.581 0.914 0.140
Tm29 0.586 0.166 0.225
Tm30 0.586 0.919 0.360
Tm31 0.640 0.414 0.081
Tm32 0.640 0.725 0.559
Tm33 0.666 0.081 0.941
Tm34 0.666 0.086 0.725
Tm35 0.725 0.559 0.640
Tm36 0.725 0.666 0.086
Tm37 0.775 0.414 0.834
Tm38 0.775 0.860 0.941
Tm39 0.834 0.559 0.419
Tm40 0.834 0.775 0.414
Tm41 0.860 0.419 0.086
Tm42 0.860 0.941 0.775
Tm43 0.914 0.140 0.581
Tm44 0.914 0.275 0.334
Tm45 0.919 0.059 0.334
Tm46 0.919 0.360 0.586
Tm47 0.941 0.666 0.081
Tm48 0.941 0.775 0.860
Sb1 0.125 0.250 0.375
Sb2 0.125 0.375 0.750
Sb3 0.250 0.375 0.125
Sb4 0.250 0.875 0.625
Sb5 0.375 0.125 0.250
Sb6 0.375 0.750 0.125
Sb7 0.625 0.250 0.875
Sb8 0.625 0.875 0.750
Sb9 0.750 0.125 0.375
Sb10 0.750 0.625 0.875
Sb11 0.875 0.625 0.250
Sb12 0.875 0.750 0.625
Pb1 0.000 0.000 0.000
Pb2 0.000 0.000 0.500
Pb3 0.000 0.500 0.000
Pb4 0.000 0.500 0.500
Pb5 0.125 0.750 0.875
Pb6 0.125 0.875 0.250
Pb7 0.250 0.125 0.875
Pb8 0.250 0.625 0.375
Pb9 0.375 0.250 0.625
Pb10 0.375 0.625 0.750
Pb11 0.500 0.000 0.000
Pb12 0.500 0.000 0.500
Pb13 0.500 0.500 0.000
Pb14 0.500 0.500 0.500
Pb15 0.625 0.375 0.250
Pb16 0.625 0.750 0.375
Pb17 0.750 0.375 0.625
Pb18 0.750 0.875 0.125
Pb19 0.875 0.125 0.750
Pb20 0.875 0.250 0.125

[2]
A plane-wave DFT calculation with PBE was carried out for a relaxed structure of TmSbPb.

**DFT total energy**: -4.51 eV per atom
**M_tot**: 0.0 μB per formula unit
**Density of states at the Fermi level**: 5.90 states/eV per cell
**Symmetry**: I4/mmm
**Uncorrected formation energy**: -0.407 eV per atom

Cell lengths 4.073, 4.073, 21.981 Å; angles 90.00, 90.00, 90.00 degrees
Sites, in units of the cell vectors:
Tm1 0.000 0.000 0.120
Tm2 0.000 0.000 0.880
Tm3 0.500 0.500 0.380
Tm4 0.500 0.500 0.620
Sb1 0.000 0.000 0.432
Sb2 0.000 0.000 0.568
Sb3 0.500 0.500 0.068
Sb4 0.500 0.500 0.932
Pb1 0.000 0.000 0.285
Pb2 0.000 0.000 0.715
Pb3 0.500 0.500 0.215
Pb4 0.500 0.500 0.785

[3]
A plane-wave DFT calculation with PBE was carried out for a relaxed structure of Tm2SbPb.

**DFT total energy**: -4.80 eV per atom
**M_tot**: 0.0 μB per formula unit
**Density of states at the Fermi level**: 6.24 states/eV per cell
**Symmetry**: R3m
**Uncorrected formation energy**: -0.607 eV per atom
**Offset from the most stable computed form**: 0.081 eV per atom

Cell lengths 4.145, 4.145, 24.041 Å; angles 90.00, 90.00, 120.00 degrees
Sites, in units of the cell vectors:
Tm1 0.000 0.000 0.000
Tm2 0.000 0.000 0.181
Tm3 0.333 0.667 0.667
Tm4 0.333 0.667 0.847
Tm5 0.667 0.333 0.333
Tm6 0.667 0.333 0.514
Sb1 0.000 0.000 0.592
Sb2 0.333 0.667 0.258
Sb3 0.667 0.333 0.925
Pb1 0.000 0.000 0.423
Pb2 0.333 0.667 0.090
Pb3 0.667 0.333 0.756

[4]
A plane-wave DFT calculation with PBE was carried out for a relaxed structure of Tm4Sb2Pb.

**DFT total energy**: -4.87 eV per atom
**M_tot**: 0.0 μB per formula unit
**Density of states at the Fermi level**: 9.13 states/eV per cell
**Symmetry**: I4_1/amd
**Uncorrected formation energy**: -0.605 eV per atom

Cell lengths 8.228, 8.228, 8.228 Å; angles 108.96, 108.96, 110.49 degrees
Sites, in units of the cell vectors:
Tm1 0.190 0.254 0.564
Tm2 0.190 0.627 0.936
Tm3 0.254 0.190 0.064
Tm4 0.373 0.810 0.564
Tm5 0.627 0.190 0.436
Tm6 0.746 0.810 0.936
Tm7 0.810 0.373 0.064
Tm8 0.810 0.746 0.436
Sb1 0.000 0.500 0.500
Sb2 0.500 0.000 0.000
Sb3 0.500 0.500 0.000
Sb4 0.500 0.500 0.500
Pb1 0.125 0.875 0.250
Pb2 0.875 0.125 0.750

[5]
A plane-wave DFT calculation with PBE was carried out for a relaxed structure of Tm3Sb2Pb.

**DFT total energy**: -5.02 eV per atom
**M_tot**: 0.0 μB per formula unit
**Density of states at the Fermi level**: 6.08 states/eV per cell
**Symmetry**: C2/c
**Uncorrected formation energy**: -0.791 eV per atom
**Offset from the most stable computed form**: 0.000 eV per atom

Cell lengths 7.593, 7.593, 7.377 Å; angles 99.80, 99.80, 118.89 degrees
Sites, in units of the cell vectors:
Tm1 0.000 0.500 0.000
Tm2 0.154 0.326 0.499
Tm3 0.326 0.154 0.999
Tm4 0.500 0.000 0.500
Tm5 0.674 0.846 0.001
Tm6 0.846 0.674 0.501
Sb1 0.084 0.916 0.250
Sb2 0.253 0.747 0.750
Sb3 0.747 0.253 0.250
Sb4 0.916 0.084 0.750
Pb1 0.420 0.580 0.250
Pb2 0.580 0.420 0.750

[6]
A plane-wave DFT calculation with PBE was carried out for a relaxed structure of Tm8Sb5Pb.

**DFT total energy**: -5.13 eV per atom
**M_tot**: 0.0 μB per formula unit
**Density of states at the Fermi level**: 14.26 states/eV per cell
**Symmetry**: I-4
**Uncorrected formation energy**: -0.840 eV per atom

Cell lengths 7.893, 7.893, 7.893 Å; angles 109.36, 109.36, 109.69 degrees
Sites, in units of the cell vectors:
Tm1 0.127 0.730 0.749
Tm2 0.129 0.229 0.753
Tm3 0.270 0.019 0.397
Tm4 0.476 0.376 0.247
Tm5 0.623 0.873 0.603
Tm6 0.624 0.871 0.100
Tm7 0.771 0.524 0.900
Tm8 0.981 0.377 0.251
Sb1 0.000 0.000 0.000
Sb2 0.250 0.626 0.124
Sb3 0.374 0.498 0.624
Sb4 0.502 0.126 0.876
Sb5 0.874 0.750 0.376
Pb1 0.750 0.250 0.500

[7]
A plane-wave DFT calculation with PBE was carried out for a relaxed structure of Tm3Sb2Pb.

**DFT total energy**: -5.02 eV per atom
**M_tot**: 0.0 μB per formula unit
**Density of states at the Fermi level**: 11.83 states/eV per cell
**Symmetry**: P2_1/c
**Uncorrected formation energy**: -0.789 eV per atom
**Offset from the most stable computed form**: 0.002 eV per atom

Cell lengths 6.163, 13.082, 8.709 Å; angles 90.00, 90.04, 90.00 degrees
Sites, in units of the cell vectors:
Tm1 0.249 0.085 0.132
Tm2 0.249 0.415 0.632
Tm3 0.250 0.086 0.619
Tm4 0.250 0.414 0.119
Tm5 0.251 0.749 0.626
Tm6 0.251 0.751 0.126
Tm7 0.749 0.249 0.874
Tm8 0.749 0.251 0.374
Tm9 0.750 0.586 0.881
Tm10 0.750 0.914 0.381
Tm11 0.751 0.585 0.368
Tm12 0.751 0.915 0.868
Sb1 0.249 0.248 0.875
Sb2 0.249 0.252 0.375
Sb3 0.250 0.584 0.876
Sb4 0.250 0.916 0.376
Sb5 0.750 0.084 0.624
Sb6 0.750 0.416 0.124
Sb7 0.751 0.748 0.625
Sb8 0.751 0.752 0.125
Pb1 0.251 0.582 0.377
Pb2 0.251 0.918 0.877
Pb3 0.749 0.082 0.123
Pb4 0.749 0.418 0.623

[8]
A plane-wave DFT calculation with PBE was carried out for a relaxed structure of Tm5SbPb.

**DFT total energy**: -4.57 eV per atom
**M_tot**: 0.0 μB per formula unit
**Density of states at the Fermi level**: 15.46 states/eV per cell
**Symmetry**: C2/c
**Uncorrected formation energy**: -0.258 eV per atom

Cell lengths 6.157, 6.157, 11.055 Å; angles 100.08, 100.08, 88.60 degrees
Sites, in units of the cell vectors:
Tm1 0.000 0.414 0.832
Tm2 0.000 0.586 0.168
Tm3 0.136 0.864 0.750
Tm4 0.243 0.517 0.471
Tm5 0.414 0.000 0.332
Tm6 0.483 0.757 0.029
Tm7 0.517 0.243 0.971
Tm8 0.586 0.000 0.668
Tm9 0.757 0.483 0.529
Tm10 0.864 0.136 0.250
Sb1 0.491 0.509 0.750
Sb2 0.509 0.491 0.250
Pb1 0.000 0.000 0.000
Pb2 0.000 0.000 0.500

[9]
A plane-wave DFT calculation with PBE was carried out for a relaxed structure of TmSbPb2.

**DFT total energy**: -3.81 eV per atom
**M_tot**: 0.0 μB per formula unit
**Density of states at the Fermi level**: 9.04 states/eV per cell
**Symmetry**: R-3m
**Uncorrected formation energy**: 0.196 eV per atom

Cell lengths 3.462, 3.462, 35.902 Å; angles 90.00, 90.00, 120.00 degrees
Sites, in units of the cell vectors:
Tm1 0.000 0.000 0.000
Tm2 0.333 0.667 0.667
Tm3 0.667 0.333 0.333
Sb1 0.000 0.000 0.500
Sb2 0.333 0.667 0.167
Sb3 0.667 0.333 0.833
Pb1 0.000 0.000 0.088
Pb2 0.000 0.000 0.912
Pb3 0.333 0.667 0.579
Pb4 0.333 0.667 0.754
Pb5 0.667 0.333 0.246
Pb6 0.667 0.333 0.421

[10]
A plane-wave DFT calculation with PBE was carried out for a relaxed structure of Tm2SbPb.

**DFT total energy**: -4.88 eV per atom
**M_tot**: 0.0 μB per formula unit
**Density of states at the Fermi level**: 2.01 states/eV per cell
**Symmetry**: R-3m
**Uncorrected formation energy**: -0.687 eV per atom
**Offset from the most stable computed form**: 0.000 eV per atom

Cell lengths 4.197, 4.197, 23.151 Å; angles 90.00, 90.00, 120.00 degrees
Sites, in units of the cell vectors:
Tm1 0.000 0.000 0.245
Tm2 0.000 0.000 0.755
Tm3 0.333 0.667 0.422
Tm4 0.333 0.667 0.912
Tm5 0.667 0.333 0.088
Tm6 0.667 0.333 0.578
Sb1 0.000 0.000 0.500
Sb2 0.333 0.667 0.167
Sb3 0.667 0.333 0.833
Pb1 0.000 0.000 0.000
Pb2 0.333 0.667 0.667
Pb3 0.667 0.333 0.333

[11]
A plane-wave DFT calculation with PBE was carried out for a relaxed structure of Tm5Sb2Pb2.

**DFT total energy**: -4.68 eV per atom
**M_tot**: 0.0 μB per formula unit
**Density of states at the Fermi level**: 8.76 states/eV per cell
**Symmetry**: Ima2
**Uncorrected formation energy**: -0.454 eV per atom
**Offset from the most stable computed form**: 0.268 eV per atom

Cell lengths 10.526, 10.526, 10.526 Å; angles 63.88, 138.29, 133.93 degrees
Sites, in units of the cell vectors:
Tm1 0.063 0.992 0.570
Tm2 0.204 0.072 0.276
Tm3 0.204 0.428 0.632
Tm4 0.422 0.492 0.430
Tm5 0.461 0.770 0.996
Tm6 0.461 0.965 0.191
Tm7 0.774 0.270 0.809
Tm8 0.774 0.465 0.004
Tm9 0.796 0.572 0.368
Tm10 0.796 0.928 0.724
Sb1 0.269 0.396 0.075
Sb2 0.269 0.695 0.374
Sb3 0.321 0.195 0.925
Sb4 0.321 0.896 0.626
Pb1 0.727 0.227 0.500
Pb2 0.727 0.727 0.000
Pb3 0.886 0.173 0.213
Pb4 0.959 0.673 0.787

[12]
A plane-wave DFT calculation with PBE was carried out for a relaxed structure of Tm4SbPb.

**DFT total energy**: -4.75 eV per atom
**M_tot**: 0.0 μB per formula unit
**Density of states at the Fermi level**: 6.99 states/eV per cell
**Symmetry**: Pmmn
**Uncorrected formation energy**: -0.462 eV per atom

Cell lengths 4.829, 6.508, 10.702 Å; angles 90.00, 90.00, 90.00 degrees
Sites, in units of the cell vectors:
Tm1 0.250 0.007 0.247
Tm2 0.250 0.250 0.583
Tm3 0.250 0.250 0.919
Tm4 0.250 0.493 0.247
Tm5 0.750 0.507 0.753
Tm6 0.750 0.750 0.081
Tm7 0.750 0.750 0.417
Tm8 0.750 0.993 0.753
Sb1 0.250 0.750 0.911
Sb2 0.750 0.250 0.089
Pb1 0.250 0.750 0.589
Pb2 0.750 0.250 0.411